A plane-wave DFT calculation with GGA-PBE was carried out for a geometry-optimized FeS structure.

Computed properties:
The value obtained for the uncorrected formation energy is -0.080 eV per atom. The value obtained for the total energy is -76.50 eV per cell. As for the crystal system: cubic.

abc: 6.1510 6.1510 6.1510
angles: 90.00 90.00 90.00
Atoms (fractional coordinates):
Fe 0.0000 0.2500 0.5000
Fe 0.0000 0.7500 0.5000
Fe 0.2500 0.5000 0.0000
Fe 0.5000 0.0000 0.2500
Fe 0.5000 0.0000 0.7500
Fe 0.7500 0.5000 0.0000
S 0.0000 0.5000 0.2500
S 0.0000 0.5000 0.7500
S 0.2500 0.0000 0.5000
S 0.5000 0.2500 0.0000
S 0.5000 0.7500 0.0000
S 0.7500 0.0000 0.5000